No. 1
This record from OQMD via LeMat-Bulk describes a geometry-optimized GdTm2Ga3PtAu2 structure. The functional is PBE.

## Properties
Total magnetization (μB/f.u.): 0.001
Crystal system: orthorhombic
Symmetry: Amm2
E (eV per atom): -4.816

```
9
Lattice="3.843 0.000 0.000 0.000 6.440 3.700 0.000 -6.440 3.700" Properties=species:S:1:pos:R:3 pbc="T T T"
Gd 0.000 0.000 0.000
Tm 0.000 -2.578 2.935
Tm 0.000 2.578 2.935
Ga 1.921 0.000 2.551
Ga 1.921 -1.616 5.337
Ga 1.921 1.616 5.337
Pt 0.000 0.000 4.380
Au 1.921 -4.252 4.422
Au 1.921 4.252 4.422
```



No. 2
This record from OQMD via LeMat-Bulk describes a geometry-optimized MgSiNi structure. The functional is PBE.

## Properties
Total magnetization (μB/f.u.): 0.006
Crystal system: tetragonal
Symmetry: P4_2/mmc
E (eV per atom): -4.161

```
6
Lattice="4.050 0.000 0.000 0.000 4.050 0.000 0.000 0.000 5.956" Properties=species:S:1:pos:R:3 pbc="T T T"
Mg 0.000 0.000 1.489
Mg 0.000 0.000 4.467
Si 0.000 2.025 0.000
Si 2.025 0.000 2.978
Ni 2.025 2.025 1.489
Ni 2.025 2.025 4.467
```



No. 3
This record from OQMD via LeMat-Bulk describes a geometry-optimized Y3Er3CuTe2 structure. The functional is PBE.

## Properties
Total magnetization (μB/f.u.): 0.042
Energy above the lowest structure with this stoichiometry (eV/f.u.): 0.00
Crystal system: hexagonal
Symmetry: P-62m
E (eV per atom): -5.447

```
9
Lattice="8.370 0.000 0.000 -4.185 7.249 0.000 0.000 0.000 3.947" Properties=species:S:1:pos:R:3 pbc="T T T"
Y -2.499 4.329 0.000
Y 1.686 2.920 0.000
Y 4.999 0.000 0.000
Er -1.011 1.751 1.973
Er 2.022 0.000 1.973
Er 3.174 5.498 1.973
Cu 0.000 0.000 0.000
Te 0.000 4.833 1.973
Te 4.185 2.416 1.973
```



No. 4
This record from OQMD via LeMat-Bulk describes a geometry-optimized TlTcAgTeS2 structure. The functional is PBE.

## Properties
Total magnetization (μB/f.u.): 2.149
Crystal system: orthorhombic
Symmetry: Cmcm
E (eV per atom): -4.577

```
12
Lattice="1.777 -7.962 0.000 1.777 7.962 0.000 0.000 0.000 10.410" Properties=species:S:1:pos:R:3 pbc="T T T"
Tl 1.777 4.243 7.807
Tl 1.777 -4.243 2.602
Tc 0.000 0.000 0.000
Tc 0.000 0.000 5.205
Ag 1.777 1.051 2.602
Ag 1.777 -1.051 7.807
Te 1.777 6.736 2.602
Te 1.777 -6.736 7.807
S 1.777 1.677 0.244
S 1.777 1.677 4.961
S 1.777 -1.677 5.449
S 1.777 -1.677 10.166
```



No. 5
This record from OQMD via LeMat-Bulk describes a geometry-optimized Si4Sb4Os structure. The functional is PBE.

## Properties
Total magnetization (μB/f.u.): 0.000
Crystal system: triclinic
Symmetry: P1
E (eV per atom): -5.418

```
9
Lattice="5.542 0.000 0.000 2.108 5.929 0.000 2.511 -0.303 6.408" Properties=species:S:1:pos:R:3 pbc="T T T"
Si 0.000 0.000 0.000
Si 2.185 1.429 2.971
Si 5.429 2.367 4.985
Si 5.427 3.577 1.796
Sb 3.229 5.055 2.179
Sb 4.065 0.154 4.371
Sb 3.819 1.713 0.885
Sb 8.729 3.617 5.671
Os 6.948 3.565 3.613
```



No. 6
This record from OQMD via LeMat-Bulk describes a geometry-optimized MgCuBiPd structure. The functional is PBE.

## Properties
Energy above the lowest structure with this stoichiometry (eV/f.u.): 0.00
Crystal system: cubic
Symmetry: F-43m
E (eV per atom): -3.805

```
4
Lattice="0.000 3.340 3.340 3.340 0.000 3.340 3.340 3.340 0.000" Properties=species:S:1:pos:R:3 pbc="T T T"
Mg 0.000 0.000 0.000
Cu 5.011 5.011 5.011
Bi 3.340 3.340 3.340
Pd 1.670 1.670 1.670
```



No. 7
This record from OQMD via LeMat-Bulk describes a geometry-optimized PrY2Al7Ag2 structure. The functional is PBE.

## Properties
Total magnetization (μB/f.u.): 0.014
Crystal system: trigonal
Symmetry: R-3m
E (eV per atom): -4.614

```
12
Lattice="2.800 1.616 8.831 -2.800 1.616 8.831 0.000 -3.233 8.831" Properties=species:S:1:pos:R:3 pbc="T T T"
Pr 0.000 0.000 0.000
Y 0.000 0.000 3.763
Y 0.000 0.000 22.729
Al -1.433 -0.828 11.059
Al 0.000 -1.655 15.433
Al -1.433 0.828 15.433
Al 0.000 0.000 13.246
Al 1.433 -0.828 11.059
Al 0.000 1.655 11.059
Al 1.433 0.828 15.433
Ag 0.000 0.000 8.894
Ag 0.000 0.000 17.598
```



No. 8
This record from OQMD via LeMat-Bulk describes a geometry-optimized Dy2Ho2CI3Br2 structure. The functional is PBE.

## Properties
Total magnetization (μB/f.u.): 0.336
Energy above the lowest structure with this stoichiometry (eV/f.u.): 0.00
Crystal system: monoclinic
Symmetry: C2/m
E (eV per atom): -4.784

```
10
Lattice="9.272 -1.953 0.000 9.272 1.953 0.000 -1.806 0.000 8.283" Properties=species:S:1:pos:R:3 pbc="T T T"
Dy -0.547 0.000 2.556
Dy 17.286 0.000 5.727
Ho 6.047 0.000 3.583
Ho 10.691 0.000 4.701
C 8.369 0.000 4.142
I 2.595 0.000 2.648
I 9.272 0.000 0.000
I 14.144 0.000 5.635
Br 1.453 0.000 6.792
Br 15.286 0.000 1.491
```



No. 9
This record from OQMD via LeMat-Bulk describes a geometry-optimized Os structure. The functional is PBE.

## Properties
Total magnetization (μB/f.u.): 0.000
Energy above the lowest structure with this stoichiometry (eV/f.u.): 0.85
Crystal system: orthorhombic
Symmetry: Cmce
E (eV per atom): -10.375
Energy of formation from the pure elements (kJ/mol of atoms): 82

```
4
Lattice="2.237 -4.788 0.000 2.237 4.788 0.000 0.000 0.000 2.797" Properties=species:S:1:pos:R:3 pbc="T T T"
Os 2.237 3.583 2.788
Os 2.237 1.204 1.390
Os 2.237 -1.204 1.407
Os 2.237 -3.583 0.009
```



No. 10
This record from OQMD via LeMat-Bulk describes a geometry-optimized CoNiSnOs structure. The functional is PBE.

## Properties
Total magnetization (μB/f.u.): 2.182
Energy above the lowest structure with this stoichiometry (eV/f.u.): 0.00
Crystal system: cubic
Symmetry: F-43m
E (eV per atom): -6.691

```
4
Lattice="0.000 3.047 3.047 3.047 0.000 3.047 3.047 3.047 0.000" Properties=species:S:1:pos:R:3 pbc="T T T"
Co 0.000 0.000 0.000
Ni 1.524 1.524 1.524
Sn 4.571 4.571 4.571
Os 3.047 3.047 3.047
```



No. 11
This record from OQMD via LeMat-Bulk describes a geometry-optimized NaGaNiS3 structure. The functional is PBE.

## Properties
Total magnetization (μB/f.u.): 1.530
Crystal system: orthorhombic
Symmetry: Cmcm
E (eV per atom): -4.218

```
12
Lattice="1.782 -6.351 0.000 1.782 6.351 0.000 0.000 0.000 10.056" Properties=species:S:1:pos:R:3 pbc="T T T"
Na 1.782 3.224 7.542
Na 1.782 -3.224 2.514
Ga 0.000 0.000 0.000
Ga 0.000 0.000 5.028
Ni 1.782 0.302 2.514
Ni 1.782 -0.302 7.542
S 1.782 5.367 2.514
S 1.782 1.558 0.628
S 1.782 1.558 4.400
S 1.782 -1.558 5.655
S 1.782 -1.558 9.428
S 1.782 -5.367 7.542
```



No. 12
This record from OQMD via LeMat-Bulk describes a geometry-optimized TbPIrO structure. The functional is PBE.

## Properties
Total magnetization (μB/f.u.): 0.001
Energy above the lowest structure with this stoichiometry (eV/f.u.): 2.13
Crystal system: orthorhombic
Symmetry: Pmc2_1
E (eV per atom): -7.407

```
8
Lattice="4.581 0.000 0.000 0.000 4.160 0.000 0.000 0.000 6.598" Properties=species:S:1:pos:R:3 pbc="T T T"
Tb 0.000 0.899 0.000
Tb 0.000 3.261 3.299
P 2.291 0.824 4.540
P 2.291 3.336 1.241
Ir 2.291 1.266 2.267
Ir 2.291 2.894 5.566
O 0.000 1.206 2.261
O 0.000 2.954 5.559
```



No. 13
This record from OQMD via LeMat-Bulk describes a geometry-optimized TbGaGePt2 structure. The functional is PBE.

## Properties
Total magnetization (μB/f.u.): 0.004
Energy above the lowest structure with this stoichiometry (eV/f.u.): 0.18
Crystal system: tetragonal
Symmetry: P4/nmm
E (eV per atom): -5.774

```
10
Lattice="4.285 0.000 0.000 0.000 4.285 0.000 0.000 0.000 10.305" Properties=species:S:1:pos:R:3 pbc="T T T"
Tb 1.071 1.071 2.549
Tb 3.214 3.214 7.756
Ga 1.071 1.071 6.521
Ga 3.214 3.214 3.784
Ge 1.071 3.214 0.000
Ge 3.214 1.071 0.000
Pt 1.071 1.071 8.974
Pt 1.071 3.214 5.152
Pt 3.214 1.071 5.152
Pt 3.214 3.214 1.331
```



No. 14
This record from OQMD via LeMat-Bulk describes a geometry-optimized HoSnAuSeS2 structure. The functional is PBE.

## Properties
Total magnetization (μB/f.u.): 0.007
Crystal system: orthorhombic
Symmetry: Cmcm
E (eV per atom): -4.893

```
12
Lattice="2.049 -7.177 0.000 2.049 7.177 0.000 0.000 0.000 10.492" Properties=species:S:1:pos:R:3 pbc="T T T"
Ho 0.000 0.000 0.000
Ho 0.000 0.000 5.246
Sn 2.049 2.889 7.869
Sn 2.049 -2.889 2.623
Au 2.049 2.082 2.623
Au 2.049 -2.082 7.869
Se 2.049 6.207 2.623
Se 2.049 -6.207 7.869
S 2.049 1.835 0.269
S 2.049 1.835 4.977
S 2.049 -1.835 5.515
S 2.049 -1.835 10.223
```



No. 15
This record from OQMD via LeMat-Bulk describes a geometry-optimized DyInHg structure. The functional is PBE.

## Properties
Total magnetization (μB/f.u.): 0.000
Crystal system: cubic
Symmetry: F-43m
E (eV per atom): -2.772

```
3
Lattice="0.000 3.463 3.463 3.463 0.000 3.463 3.463 3.463 0.000" Properties=species:S:1:pos:R:3 pbc="T T T"
Dy 0.000 0.000 0.000
In 1.732 1.732 1.732
Hg 3.463 3.463 3.463
```



No. 16
This record from OQMD via LeMat-Bulk describes a geometry-optimized ErScTeC structure. The functional is PBE.

## Properties
Total magnetization (μB/f.u.): 0.004
Energy above the lowest structure with this stoichiometry (eV/f.u.): 0.00
Crystal system: hexagonal
Symmetry: P-6m2
E (eV per atom): -6.671

```
8
Lattice="3.686 0.000 0.000 -1.843 3.192 0.000 0.000 0.000 13.555" Properties=species:S:1:pos:R:3 pbc="T T T"
Er 0.000 0.000 2.243
Er 0.000 0.000 11.312
Sc 0.000 2.128 4.713
Sc 0.000 2.128 8.842
Te 0.000 0.000 6.778
Te 0.000 2.128 0.000
C 1.843 1.064 3.524
C 1.843 1.064 10.032
```



No. 17
This record from OQMD via LeMat-Bulk describes a geometry-optimized AgI2 structure. The functional is PBE.

## Properties
Crystal system: tetragonal
Symmetry: I4/mmm
E (eV per atom): -1.824

```
3
Lattice="-1.806 1.806 7.076 1.806 -1.806 7.076 1.806 1.806 -7.076" Properties=species:S:1:pos:R:3 pbc="T T T"
Ag 0.000 0.000 0.000
I 0.000 0.000 5.146
I 0.000 0.000 9.006
```



No. 18
This record from OQMD via LeMat-Bulk describes a geometry-optimized PmAgSb2 structure. The functional is PBE.

## Properties
Total magnetization (μB/f.u.): 0.000
Crystal system: tetragonal
Symmetry: P4/nmm
E (eV per atom): -4.634

```
8
Lattice="4.387 0.000 0.000 0.000 4.387 0.000 0.000 0.000 10.573" Properties=species:S:1:pos:R:3 pbc="T T T"
Pm 1.097 1.097 2.505
Pm 3.291 3.291 8.068
Ag 1.097 3.291 5.287
Ag 3.291 1.097 5.287
Sb 1.097 1.097 7.181
Sb 1.097 3.291 0.000
Sb 3.291 1.097 0.000
Sb 3.291 3.291 3.392
```



No. 19
This record from OQMD via LeMat-Bulk describes a geometry-optimized Hg3S2I2 structure. The functional is PBE.

## Properties
Energy above the lowest structure with this stoichiometry (eV/f.u.): 0.02
Crystal system: cubic
Symmetry: I2_13
E (eV per atom): -1.960

```
14
Lattice="-4.893 4.893 4.893 4.893 -4.893 4.893 4.893 4.893 -4.893" Properties=species:S:1:pos:R:3 pbc="T T T"
Hg 4.893 -2.446 4.498
Hg 4.498 4.893 -2.446
Hg 4.893 2.446 0.395
Hg 2.446 0.395 4.893
Hg 0.395 4.893 2.446
Hg -2.446 4.498 4.893
S 4.879 0.013 -0.013
S 0.013 0.013 0.013
S 0.013 -0.013 4.879
S -0.013 4.879 0.013
I 7.290 -2.397 2.397
I 2.397 7.290 -2.397
I 2.495 2.495 2.495
I -2.397 2.397 7.290
```



No. 20
This record from OQMD via LeMat-Bulk describes a geometry-optimized PrAlTlTe3 structure. The functional is PBE.

## Properties
Total magnetization (μB/f.u.): 0.370
Crystal system: orthorhombic
Symmetry: Cmcm
E (eV per atom): -4.090

```
12
Lattice="2.331 -7.455 0.000 2.331 7.455 0.000 0.000 0.000 12.070" Properties=species:S:1:pos:R:3 pbc="T T T"
Pr 0.000 0.000 0.000
Pr 0.000 0.000 6.035
Al 2.331 0.440 9.052
Al 2.331 -0.440 3.017
Tl 2.331 3.824 3.017
Tl 2.331 -3.824 9.052
Te 2.331 6.414 9.052
Te 2.331 2.087 6.918
Te 2.331 2.087 11.187
Te 2.331 -2.087 0.883
Te 2.331 -2.087 5.152
Te 2.331 -6.414 3.017
```



No. 21
This record from OQMD via LeMat-Bulk describes a geometry-optimized Tm2Fe14B structure. The functional is PBE.

## Properties
Total magnetization (μB/f.u.): 30.768
Crystal system: tetragonal
Symmetry: P4_2/mnm
E (eV per atom): -7.884

```
68
Lattice="8.693 0.000 0.000 0.000 8.693 0.000 0.000 0.000 11.820" Properties=species:S:1:pos:R:3 pbc="T T T"
Tm 1.247 1.247 0.000
Tm 2.033 2.033 5.910
Tm 2.314 6.380 0.000
Tm 3.099 5.594 5.910
Tm 5.594 3.099 5.910
Tm 6.380 2.314 0.000
Tm 6.660 6.660 5.910
Tm 7.446 7.446 0.000
Fe 0.000 0.000 4.539
Fe 0.000 0.000 7.281
Fe 0.000 4.347 0.000
Fe 0.000 4.347 5.910
Fe 0.323 5.580 2.058
Fe 0.323 5.580 9.762
Fe 0.571 6.297 4.420
Fe 0.571 6.297 7.400
Fe 0.842 7.851 2.352
Fe 0.842 7.851 9.467
Fe 1.233 4.023 3.852
Fe 1.233 4.023 7.968
Fe 1.593 1.593 3.001
Fe 1.593 1.593 8.818
Fe 1.951 3.776 1.490
Fe 1.951 3.776 10.329
Fe 2.396 8.123 4.420
Fe 2.396 8.123 7.400
Fe 2.753 5.940 2.909
Fe 2.753 5.940 8.911
Fe 3.113 8.370 2.058
Fe 3.113 8.370 9.762
Fe 3.504 3.504 3.557
Fe 3.504 3.504 8.262
Fe 3.776 1.951 1.490
Fe 3.776 1.951 10.329
Fe 4.023 1.233 3.852
Fe 4.023 1.233 7.968
Fe 4.347 0.000 0.000
Fe 4.347 0.000 5.910
Fe 4.347 4.347 1.371
Fe 4.347 4.347 10.448
Fe 4.670 7.460 3.852
Fe 4.670 7.460 7.968
Fe 4.917 6.743 1.490
Fe 4.917 6.743 10.329
Fe 5.189 5.189 3.557
Fe 5.189 5.189 8.262
Fe 5.580 0.323 2.058
Fe 5.580 0.323 9.762
Fe 5.940 2.753 2.909
Fe 5.940 2.753 8.911
Fe 6.297 0.571 4.420
Fe 6.297 0.571 7.400
Fe 6.743 4.917 1.490
Fe 6.743 4.917 10.329
Fe 7.100 7.100 3.001
Fe 7.100 7.100 8.818
Fe 7.460 4.670 3.852
Fe 7.460 4.670 7.968
Fe 7.851 0.842 2.352
Fe 7.851 0.842 9.467
Fe 8.123 2.396 4.420
Fe 8.123 2.396 7.400
Fe 8.370 3.113 2.058
Fe 8.370 3.113 9.762
B 1.092 7.602 5.910
B 3.255 3.255 0.000
B 5.438 5.438 0.000
B 7.602 1.092 5.910
```